# KNaPRh

Crystalline KNaPRh at its relaxed geometry (PBE, Alexandria).

Calculated values
Size of the total moment = 0.001 Bohr magnetons per cell
Total energy = -4.18 eV per atom
Formation energy from the elements = -0.38 eV/atom

a = 4.060 Å, b = 4.060 Å, c = 13.550 Å
α = 90.00°, β = 90.00°, γ = 90.00°
Fractional coordinates of all 8 atoms:
Rh1 0.250 0.750 0.000
Na1 0.750 0.250 0.500
P1 0.750 0.750 0.910
Rh2 0.750 0.250 0.000
Na2 0.250 0.750 0.500
K1 0.750 0.750 0.223
P2 0.250 0.250 0.090
K2 0.250 0.250 0.777